Entry 1:
A crystal of MgMo2As relaxed with PBEsol, computed with meta-GGA SCAN.

Cell and atoms, written as POSCAR:
```
MgMo2As
1.0
-1.592 2.752 0.345
0.287 -0.398 4.491
4.429 1.014 -2.466
As Mg Mo
1 1 2
Direct
0.500 0.000 0.000
0.000 0.500 0.000
0.769 0.769 0.538
0.231 0.231 0.462
```

The energy relative to the elements is 0.18 eV/atom. For the offset from the most stable computed form, the calculation gives 6 meV/atom. The calculation puts the density of states at the Fermi level at 2.808 states/eV/cell. As for the crystal system: orthorhombic. As for the space-group type: No. 71. The electronic total energy comes out at -23.55 eV/atom.

Entry 2:
A crystal of Zn12Tc relaxed with PBEsol, computed with meta-GGA SCAN.

Cell and atoms, written as POSCAR:
```
Zn12Tc
1.0
6.273 0.000 0.000
-2.091 5.914 0.000
-2.091 -2.957 5.122
Tc Zn
1 12
Direct
0.000 0.000 0.000
0.689 0.814 0.503
0.689 0.186 0.875
0.311 0.814 0.125
0.311 0.186 0.497
0.125 0.311 0.814
0.497 0.311 0.186
0.503 0.689 0.814
0.875 0.689 0.186
0.186 0.875 0.689
0.814 0.503 0.689
0.186 0.497 0.311
0.814 0.125 0.311
```

The energy relative to the elements is 0.07 eV/atom. The calculation puts the density of states at the Fermi level at 5.161 states/eV/cell. As for the crystal system: cubic. As for the space-group type: No. 204. The electronic total energy comes out at -15.11 eV/atom.

Entry 3:
A crystal of Zr2ZnIn relaxed with PBEsol, computed with meta-GGA SCAN.

Cell and atoms, written as POSCAR:
```
Zr2ZnIn
1.0
3.108 0.028 0.000
-0.039 3.108 0.000
0.000 0.000 8.282
In Zn Zr
1 1 2
Direct
0.000 0.000 0.477
0.500 0.500 0.252
0.000 0.000 0.025
0.500 0.500 0.746
```

The energy relative to the elements is -0.18 eV/atom. The calculation puts the density of states at the Fermi level at 3.032 states/eV/cell. As for the crystal system: orthorhombic. As for the space-group type: No. 35. The electronic total energy comes out at -27.25 eV/atom.

Entry 4:
A crystal of SmIn3Pt relaxed with PBEsol, computed with meta-GGA SCAN.

Cell and atoms, written as POSCAR:
```
SmIn3Pt
1.0
9.654 0.000 0.000
0.000 9.654 0.000
0.000 0.000 9.654
Sm In Pt
8 24 8
Direct
0.000 0.000 0.000
0.500 0.500 0.500
0.250 0.000 0.500
0.750 0.000 0.500
0.500 0.250 0.000
0.500 0.750 0.000
0.000 0.500 0.250
0.000 0.500 0.750
0.000 0.151 0.319
0.000 0.849 0.681
0.000 0.849 0.319
0.000 0.151 0.681
0.319 0.000 0.151
0.651 0.500 0.181
0.681 0.000 0.849
0.349 0.500 0.819
0.319 0.000 0.849
0.349 0.500 0.181
0.681 0.000 0.151
0.651 0.500 0.819
0.151 0.319 0.000
0.500 0.819 0.349
0.849 0.681 0.000
0.500 0.181 0.651
0.151 0.681 0.000
0.500 0.181 0.349
0.849 0.319 0.000
0.500 0.819 0.651
0.181 0.651 0.500
0.819 0.349 0.500
0.181 0.349 0.500
0.819 0.651 0.500
0.250 0.250 0.250
0.750 0.750 0.750
0.750 0.750 0.250
0.750 0.250 0.750
0.250 0.250 0.750
0.250 0.750 0.250
0.250 0.750 0.750
0.750 0.250 0.250
```

The energy relative to the elements is -0.73 eV/atom. The calculation puts the density of states at the Fermi level at 10.955 states/eV/cell. As for the crystal system: cubic. As for the space-group type: No. 223. The electronic total energy comes out at -43.69 eV/atom.